Record 1
The following is a PBE calculation of a relaxed structure of Sm4TlAuO, from the Alexandria database.

Results
Space group   Cmcm (63)
ΔE_f (raw)   -1.123 eV per atom

Lattice parameters (Å, degrees): 6.8114 6.8353 8.5289 90.00 113.54 90.00
Closest atoms and distances in Å follow each position.
Atoms (fractional coordinates):
Sm 0.0000 0.0000 0.5000  2 O 2.42
Au 0.1219 0.2500 0.2438  5 Sm 2.86-3.14
O 0.7418 0.2500 0.4836  5 Sm 2.42-2.53
Au 0.8781 0.7500 0.7562  5 Sm 2.86-3.14
Tl 0.6150 0.7500 0.2299  5 Sm 3.05-3.21
Sm 0.0612 0.7500 0.1224  1 Au 2.86, 1 O 3.08
Tl 0.3850 0.2500 0.7701  5 Sm 3.05-3.21
Sm 0.5802 0.2500 0.1603  1 O 2.53
O 0.2582 0.7500 0.5164  5 Sm 2.42-2.53
Sm 0.9388 0.2500 0.8776  1 Au 2.86, 1 O 3.08
Sm 0.5000 0.0000 0.5000  2 O 2.42
Sm 0.0000 0.5000 0.5000  2 O 2.42
Sm 0.5000 0.5000 0.5000  2 O 2.42
Sm 0.4198 0.7500 0.8397  1 O 2.53

***

Record 2
The following is a PBE calculation of a relaxed structure of Sm2TlAuO5, from the Alexandria database.

Results
Space group   P4/mbm (127)
ΔE_f (raw)   -2.010 eV per atom

Lattice parameters (Å, degrees): 5.9846 6.8036 6.8036 90.00 90.00 90.00
Closest atoms and distances in Å follow each position.
Atoms (fractional coordinates):
O 0.7369 0.8679 0.3679  1 Au 2.02
Sm 0.5000 0.6779 0.1779  8 O 2.31-2.56
Sm 0.5000 0.3221 0.8221  8 O 2.31-2.56
Au 0.0000 0.5000 0.0000  4 O 2.02
Sm 0.5000 0.1779 0.3221  8 O 2.31-2.56
Au 0.0000 0.0000 0.5000  4 O 2.02
O 0.5000 0.5000 0.5000  4 Sm 2.50
O 0.7369 0.1321 0.6321  1 Au 2.02
O 0.7369 0.3679 0.1321  1 Au 2.02
O 0.5000 0.0000 0.0000  4 Sm 2.50
O 0.2631 0.6321 0.8679  1 Au 2.02
Sm 0.5000 0.8221 0.6779  8 O 2.31-2.56
O 0.2631 0.1321 0.6321  1 Au 2.02
O 0.2631 0.3679 0.1321  1 Au 2.02
O 0.7369 0.6321 0.8679  1 Au 2.02
O 0.2631 0.8679 0.3679  1 Au 2.02
Tl 0.0000 0.5000 0.5000  10 O 2.99-3.09
Tl 0.0000 0.0000 0.0000  10 O 2.99-3.09

***

Record 3
The following is a PBE calculation of a relaxed structure of SnAuO3, from the Alexandria database.

Results
Space group   Pm-3m (221)
ΔE_f (raw)   -0.076 eV per atom

Lattice parameters (Å, degrees): 4.0817 4.0817 4.0817 90.00 90.00 90.00
Closest atoms and distances in Å follow each position.
Atoms (fractional coordinates):
O 0.0000 0.5000 0.0000  2 Au 2.04
Au 0.0000 0.0000 0.0000  6 O 2.04
O 0.5000 0.0000 0.0000  2 Au 2.04
O 0.0000 0.0000 0.5000  2 Au 2.04
Sn 0.5000 0.5000 0.5000  12 O 2.89